PBE with a Hubbard U Ba3Mn2RhO6, optimized geometry; energy = -6.48 eV/atom
1.0
-4.407 2.762 2.902
-0.780 -5.551 -2.014
2.392 -2.528 6.040
Ba Mn Rh O
3 2 1 6
Direct
0.333 0.667 0.635
0.667 0.333 0.365
0.000 0.000 0.000
0.667 0.333 0.813
0.333 0.667 0.187
0.000 0.000 0.500
0.675 0.838 0.316
0.162 0.325 0.316
0.162 0.838 0.316
0.838 0.675 0.684
0.325 0.162 0.684
0.838 0.162 0.684